Record 1
First-principles (PBE) data for Li2CuBi after structural relaxation, as listed in Alexandria.

Cell: 3.3179 3.3179 9.3759 Å, 79.81 79.81 60.00°
Last column: nearest neighbours and their distance in Å.
Atoms (fractional coordinates):
Bi1 0.0000 0.0000 0.0000  2 Li 2.82
Cu1 0.5000 0.5000 0.5000  6 Li 2.60
Li1 0.1026 0.1026 0.6923  3 Cu 2.60, 1 Bi 2.82
Li2 0.8974 0.8974 0.3077  3 Cu 2.60, 1 Bi 2.82

The density of states at the Fermi level comes out at 1.6 states/eV per cell. The calculation puts the volume at 87.5 Å³ per cell. For the total energy, the calculation gives -11.27 eV per cell. The value obtained for the formation energy is 0.1332 eV/atom.


Record 2
First-principles (PBE) data for Ba2PIr after structural relaxation, as listed in Alexandria.

Cell: 3.7154 3.7154 9.4551 Å, 90.00 90.00 101.99°
Last column: nearest neighbours and their distance in Å.
Atoms (fractional coordinates):
Ba1 0.0000 0.0000 0.9034  1 Ir 2.94, 2 P 3.28
P1 0.5000 0.5000 0.6599  2 Ir 2.42
Ir1 0.0000 0.0000 0.5921  2 P 2.42
Ba2 0.5000 0.5000 0.3445  1 P 2.98, 2 Ir 3.31

The density of states at the Fermi level comes out at 2.9 states/eV per cell. The calculation puts the volume at 127.7 Å³ per cell. For the total energy, the calculation gives -18.39 eV per cell. The value obtained for the formation energy is -0.0674 eV/atom.


Record 3
First-principles (PBE) data for Pm3Y3Er4 after structural relaxation, as listed in Alexandria.

Cell: 3.6800 9.4218 9.4218 Å, 90.24 90.00 90.00°
Last column: nearest neighbours and their distance in Å.
Atoms (fractional coordinates):
Y1 0.5000 0.1737 0.8263  6 Er 3.26-3.39
Er1 0.0000 0.1255 0.1238  4 Pm 3.25-3.40, 1 Er 3.32, 2 Y 3.39
Er2 0.0000 0.6255 0.3745  6 Pm 3.26-3.39, 1 Er 3.35
Er3 0.0000 0.8762 0.8745  4 Pm 3.25-3.40, 1 Er 3.32, 2 Y 3.39
Pm1 0.5000 0.3263 0.3266  6 Er 3.25-3.39
Er4 0.0000 0.3749 0.6251  2 Y 3.26, 1 Er 3.35, 4 Pm 3.39
Pm2 0.5000 0.6734 0.6737  6 Er 3.25-3.39
Y2 0.0000 0.0016 0.5042  4 Y 3.68-3.90, 4 Er 3.69-3.77, 6 Pm 3.94-3.97
Y3 0.0000 0.4958 0.9984  4 Y 3.68-3.90, 4 Er 3.69-3.77, 6 Pm 3.94-3.97
Pm3 0.5000 0.8270 0.1730  6 Er 3.26-3.40

The density of states at the Fermi level comes out at 7.8 states/eV per cell. The calculation puts the volume at 326.7 Å³ per cell. For the total energy, the calculation gives -51.10 eV per cell. The value obtained for the formation energy is 0.0794 eV/atom.


Record 4
First-principles (PBE) data for TcMoP2 after structural relaxation, as listed in Alexandria.

Cell: 3.5816 3.0084 5.3297 Å, 90.00 90.00 90.00°
Last column: nearest neighbours and their distance in Å.
Atoms (fractional coordinates):
Tc1 0.5000 0.2500 0.2500  4 P 2.33
Mo1 0.5000 0.7500 0.7500  8 P 2.61
P1 0.0000 0.2499 0.5310  1 P 2.33, 2 Tc 2.33, 4 Mo 2.61
P2 0.0000 0.2501 0.9690  1 P 2.33, 2 Tc 2.33, 4 Mo 2.61

The density of states at the Fermi level comes out at 2.3 states/eV per cell. The calculation puts the volume at 57.4 Å³ per cell. For the total energy, the calculation gives -32.37 eV per cell. The value obtained for the formation energy is -0.0873 eV/atom.


Record 5
First-principles (PBE) data for CeSiAu after structural relaxation, as listed in Alexandria.

Cell: 3.9470 3.9470 5.1686 Å, 112.45 112.45 90.00°
Last column: nearest neighbours and their distance in Å.
Atoms (fractional coordinates):
Au1 0.6256 0.6256 0.2512  1 Si 2.69, 1 Ce 2.92
Ce1 0.2899 0.2899 0.5798  5 Au 2.92-3.14, 5 Si 3.06-3.09
Si1 0.9345 0.9345 0.8691  1 Au 2.69

The density of states at the Fermi level comes out at 4.5 states/eV per cell. Its formation energy (no corrections) is -0.28 eV/atom. The calculation puts the volume at 67.8 Å³ per cell. For the total energy, the calculation gives -15.48 eV per cell.


Record 6
First-principles (PBE) data for AcPrPuTl after structural relaxation, as listed in Alexandria.

Cell: 5.6847 5.6847 5.6847 Å, 60.00 60.00 60.00°
Last column: nearest neighbours and their distance in Å.
Atoms (fractional coordinates):
Pr1 0.7500 0.7500 0.7500  4 Tl 3.48, 4 Ac 3.48
Tl1 0.0000 0.0000 0.0000  4 Pr 3.48, 4 Pu 3.48
Ac1 0.5000 0.5000 0.5000  4 Pr 3.48, 4 Pu 3.48
Pu1 0.2500 0.2500 0.2500  4 Ac 3.48, 4 Tl 3.48

The density of states at the Fermi level comes out at 14.0 states/eV per cell. The calculation puts the volume at 129.9 Å³ per cell. For the total energy, the calculation gives -25.04 eV per cell. The value obtained for the formation energy is 0.1372 eV/atom.


Record 7
First-principles (PBE) data for CsNaHf2As after structural relaxation, as listed in Alexandria.

Cell: 5.3623 5.2882 5.3623 Å, 90.00 90.00 90.00°
Last column: nearest neighbours and their distance in Å.
Atoms (fractional coordinates):
Hf1 0.0000 0.0000 0.5000  2 Cs 2.68
As1 0.5000 0.5000 0.5000  8 Hf 3.77, 4 Na 3.79
Na1 0.0000 0.5000 0.0000  2 Cs 2.64
Hf2 0.5000 0.0000 0.0000  2 Cs 2.68
Cs1 0.0000 0.0000 0.0000  2 Na 2.64, 4 Hf 2.68

The density of states at the Fermi level comes out at 4.9 states/eV per cell. The calculation puts the volume at 152.1 Å³ per cell. For the total energy, the calculation gives -16.27 eV per cell. The value obtained for the formation energy is 2.0917 eV/atom.


Record 8
First-principles (PBE) data for PrAl4PtAu2 after structural relaxation, as listed in Alexandria.

Cell: 4.3720 4.3720 9.5818 Å, 76.81 76.81 60.00°
Last column: nearest neighbours and their distance in Å.
Atoms (fractional coordinates):
Au1 0.7471 0.7471 0.7586  3 Al 2.53
Al1 0.4072 0.4072 0.7785  3 Au 2.53, 1 Pt 2.57
Al2 0.8663 0.8663 0.4011  3 Pt 2.68, 3 Au 2.92
Pt1 0.5000 0.5000 0.5000  8 Al 2.57-2.68
Al3 0.1337 0.1337 0.5989  3 Pt 2.68, 3 Au 2.92
Pr1 0.0000 0.0000 0.0000  6 Al 3.25, 6 Au 3.37
Al4 0.5928 0.5928 0.2215  3 Au 2.53, 1 Pt 2.57
Au2 0.2529 0.2529 0.2414  3 Al 2.53

The density of states at the Fermi level comes out at 3.5 states/eV per cell. The calculation puts the volume at 153.0 Å³ per cell. For the total energy, the calculation gives -37.56 eV per cell. The value obtained for the formation energy is -0.6521 eV/atom.